# Sc5Zn2 | Alexandria via LeMat-Bulk | PBE-GGA | relaxed
data_Sc5Zn2
_chemical_formula_sum 'Sc20 Zn8'
_space_group_name_H-M_alt 'I b a m'
_space_group_IT_number 72
_space_group_name_Hall '-I 2 2c'
_cell_length_a 6.599
_cell_length_b 14.660
_cell_length_c 6.221
_cell_angle_alpha 90.00
_cell_angle_beta 90.00
_cell_angle_gamma 90.00
loop_
_atom_site_label
_atom_site_type_symbol
_atom_site_fract_x
_atom_site_fract_y
_atom_site_fract_z
Sc1 Sc 0.000 0.000 0.250
Sc2 Sc 0.000 0.231 0.250
Sc3 Sc 0.148 0.411 0.000
Zn1 Zn 0.249 0.118 0.000
# E_form: -13.3 kJ per mole of atoms
# DOS at the Fermi energy: 37.53 states/eV/cell

# ScZn8 | Alexandria via LeMat-Bulk | PBE-GGA | relaxed
data_ScZn8
_chemical_formula_sum 'Sc2 Zn16'
_space_group_name_H-M_alt 'I 4/m m m'
_space_group_IT_number 139
_space_group_name_Hall '-I 4 2'
_cell_length_a 8.355
_cell_length_b 8.355
_cell_length_c 4.056
_cell_angle_alpha 90.00
_cell_angle_beta 90.00
_cell_angle_gamma 90.00
loop_
_atom_site_label
_atom_site_type_symbol
_atom_site_fract_x
_atom_site_fract_y
_atom_site_fract_z
Sc1 Sc 0.000 0.000 0.000
Zn1 Zn 0.000 0.341 0.000
Zn2 Zn 0.174 0.174 0.500
# E_form: -11.8 kJ per mole of atoms
# DOS at the Fermi energy: 3.74 states/eV/cell

# ScZn2 | Alexandria via LeMat-Bulk | PBE-GGA | relaxed
data_ScZn2
_chemical_formula_sum 'Sc4 Zn8'
_space_group_name_H-M_alt 'P 63/m m c'
_space_group_IT_number 194
_space_group_name_Hall '-P 6c 2c'
_cell_length_a 5.2799
_cell_length_b 5.2799
_cell_length_c 8.4501
_cell_angle_alpha 90.00
_cell_angle_beta 90.00
_cell_angle_gamma 120.00
loop_
_atom_site_label
_atom_site_type_symbol
_atom_site_fract_x
_atom_site_fract_y
_atom_site_fract_z
Sc1 Sc 0.3333 0.6667 0.0618
Zn1 Zn 0.0000 0.0000 0.0000
Zn2 Zn 0.1708 0.3417 0.7500
# E_form: -32.4 kJ per mole of atoms
# DOS at the Fermi energy: 10.70 states/eV/cell

# ScZn2 | Alexandria via LeMat-Bulk | PBE-GGA | relaxed
data_ScZn2
_chemical_formula_sum 'Sc4 Zn8'
_space_group_name_H-M_alt 'I m m m'
_space_group_IT_number 71
_space_group_name_Hall '-I 2 2'
_cell_length_a 3.458
_cell_length_b 5.628
_cell_length_c 11.101
_cell_angle_alpha 90.00
_cell_angle_beta 90.00
_cell_angle_gamma 90.00
loop_
_atom_site_label
_atom_site_type_symbol
_atom_site_fract_x
_atom_site_fract_y
_atom_site_fract_z
Sc1 Sc 0.000 0.000 0.186
Zn1 Zn 0.000 0.271 0.500
Zn2 Zn 0.000 0.500 0.118
# E_form: -24.9 kJ per mole of atoms
# DOS at the Fermi energy: 10.12 states/eV/cell

Number 1: ρ 3925 kg/m³. Number 2: ρ 6666 kg/m³. Number 3: ρ 5723 kg/m³. Number 4: ρ 5404 kg/m³.